12
Lattice="0.0000 4.1701 7.2201 4.1600 0.0000 7.2201 4.1600 4.1701 0.0000" Properties=species:S:1:pos:R:3 comment="Ce2NiGe3 | Alexandria via LeMat-Bulk | PBE-GGA | optimized geometry" final_energy_ev_per_fu=-35.77 relative_energy_kcal_per_mol_atoms=0.02 sg="Fmmm (69)" pbc="T T T"
Ce 6.2690 4.1701 7.2201
Ce 2.0800 2.0850 3.6100
Ce 6.2401 6.2551 10.8301
Ce 2.0511 4.1701 7.2201
Ni 4.1600 4.1701 4.7993
Ni 4.1600 4.1701 9.6408
Ge 4.1600 4.1701 2.4815
Ge 4.1600 2.1789 5.9764
Ge 4.1600 2.1789 8.4637
Ge 4.1600 6.1613 5.9764
Ge 4.1600 6.1613 8.4637
Ge 4.1600 4.1701 11.9586


6
Lattice="4.1164 0.0000 0.0000 0.0000 4.2300 0.0000 0.0000 0.0000 7.1819" Properties=species:S:1:pos:R:3 comment="Ce2NiGe3 | Alexandria via LeMat-Bulk | PBE-GGA | optimized geometry" final_energy_ev_per_fu=-35.66 relative_energy_kcal_per_mol_atoms=0.44 sg="Pmm2 (25)" pbc="T T T"
Ce 0.0000 0.0000 0.0000
Ce 0.0000 2.1150 3.5409
Ni 2.0582 0.0000 2.2865
Ge 2.0582 0.0000 4.6177
Ge 2.0582 2.1150 1.2795
Ge 2.0582 2.1150 5.9623


10
Lattice="4.6717 -2.6630 0.0000 4.6717 2.6630 0.0000 -2.0209 0.0000 7.5837" Properties=species:S:1:pos:R:3 comment="Ce2Ni2Ge | Alexandria via LeMat-Bulk | PBE-GGA | optimized geometry" final_energy_ev_per_fu=-30.77 sg="C2/c (15)" pbc="T T T"
Ce 1.5758 1.8387 6.4571
Ce 4.7362 1.8387 4.9184
Ce 2.5863 -1.8387 2.6653
Ce 5.7467 -1.8387 1.1266
Ni 2.4068 0.7107 3.8042
Ni 3.4172 -0.7107 0.0123
Ni 3.9052 0.7107 7.5714
Ni 4.9157 -0.7107 3.7795
Ge 4.1665 0.8644 1.8959
Ge 3.1560 -0.8644 5.6878


10
Lattice="4.1575 0.0000 0.0000 0.0000 4.1575 0.0000 0.0000 0.0000 9.3383" Properties=species:S:1:pos:R:3 comment="Ce2Ni4Ge3P | Alexandria via LeMat-Bulk | PBE-GGA | optimized geometry" final_energy_ev_per_fu=-61.73 sg="P-4m2 (115)" pbc="T T T"
Ce 0.0000 2.0788 2.3220
Ce 2.0788 0.0000 7.0163
Ni 0.0000 0.0000 4.6692
Ni 0.0000 2.0788 8.2836
Ni 2.0788 0.0000 1.0548
Ni 2.0788 2.0788 4.6692
Ge 0.0000 0.0000 0.0000
Ge 0.0000 2.0788 5.8966
Ge 2.0788 0.0000 3.4417
P 2.0788 2.0788 0.0000